Entry 1:
A plane-wave DFT calculation with PBE-GGA was carried out for crystalline NaGeSCl2 at its relaxed geometry.

## Properties
energy above the most stable polymorph in this dataset	340.3	kJ/mol of formula units
energy relative to the elements, uncorrected	-0.02	eV/atom
symmetry	P4/mmm

POSCAR file:
```
NaGeSCl2
1.0
4.882 0.000 0.000
0.000 4.882 0.000
0.000 0.000 5.255
Na Ge S Cl
1 1 1 2
Cartesian
0.000 0.000 0.000
2.441 2.441 2.628
0.000 0.000 2.628
0.000 2.441 0.000
2.441 0.000 0.000
```

Entry 2:
A plane-wave DFT calculation with PBE-GGA was carried out for crystalline Hf2ZrHgH at its relaxed geometry.

## Properties
energy above the most stable polymorph in this dataset	73.2	kJ/mol of formula units
symmetry	P4/mmm

POSCAR file:
```
Hf2ZrHgH
1.0
4.324 0.000 0.000
0.000 4.324 0.000
0.000 0.000 4.736
Hf Zr Hg H
2 1 1 1
Cartesian
0.000 2.162 0.000
2.162 0.000 0.000
0.000 0.000 2.368
2.162 2.162 2.368
2.162 2.162 0.000
```

Entry 3:
A plane-wave DFT calculation with PBE-GGA was carried out for crystalline MgZrSc4 at its relaxed geometry.

## Properties
energy above the most stable polymorph in this dataset	152.3	kJ/mol of formula units
symmetry	F-43m
energy of formation from the pure elements	0.264	eV per atom

POSCAR file:
```
MgZrSc4
1.0
0.000 4.191 4.191
4.191 0.000 4.191
4.191 4.191 0.000
Mg Zr Sc
1 1 4
Cartesian
0.000 0.000 0.000
2.095 2.095 2.095
5.232 3.149 3.149
3.149 5.232 3.149
3.149 3.149 5.232
5.232 5.232 5.232
```

Entry 4:
A plane-wave DFT calculation with PBE-GGA was carried out for crystalline Pa2CSe at its relaxed geometry.

## Properties
energy above the most stable polymorph in this dataset	25.8	kJ/mol of formula units
energy relative to the elements, uncorrected	-0.85	eV/atom
symmetry	P-3m1

POSCAR file:
```
Pa2CSe
1.0
3.591 0.000 0.000
-1.795 3.109 0.000
0.000 0.000 7.087
Pa C Se
2 1 1
Cartesian
0.000 2.073 1.439
1.795 1.036 5.648
0.000 0.000 0.000
0.000 0.000 3.543
```

Entry 5:
A plane-wave DFT calculation with PBE-GGA was carried out for crystalline LiAsIr3 at its relaxed geometry.

## Properties
energy above the most stable polymorph in this dataset	62.8	kJ/mol of formula units
symmetry	Pm-3m
energy of formation from the pure elements	0.953	eV per atom

POSCAR file:
```
LiAsIr3
1.0
4.186 0.000 0.000
0.000 4.186 0.000
0.000 0.000 4.186
Li As Ir
1 1 3
Cartesian
0.000 0.000 0.000
2.093 2.093 2.093
0.000 0.000 2.093
0.000 2.093 0.000
2.093 0.000 0.000
```

Entry 6:
A plane-wave DFT calculation with PBE-GGA was carried out for crystalline Li5Pb4 at its relaxed geometry.

## Properties
energy above the most stable polymorph in this dataset	0.0	kJ/mol of formula units
symmetry	P-1
energy of formation from the pure elements	-0.237	eV per atom

POSCAR file:
```
Li5Pb4
1.0
4.788 0.000 0.000
2.313 5.540 0.000
2.367 -0.290 7.646
Li Pb
5 4
Cartesian
0.000 0.000 0.000
2.371 1.045 4.237
2.354 2.505 0.856
7.115 2.744 6.790
7.098 4.204 3.409
4.712 3.553 5.168
4.692 4.881 1.592
4.777 0.368 6.053
4.757 1.696 2.477
```

Entry 7:
A plane-wave DFT calculation with PBE-GGA was carried out for crystalline MgSc3 at its relaxed geometry.

## Properties
energy above the most stable polymorph in this dataset	16.0	kJ/mol of formula units
symmetry	P2/m
energy of formation from the pure elements	0.031	eV per atom

POSCAR file:
```
MgSc3
1.0
3.248 0.000 0.000
0.000 4.614 0.000
-0.012 0.000 6.451
Mg Sc
1 3
Cartesian
0.000 0.000 0.000
-0.006 0.000 3.225
1.611 2.307 4.802
1.625 2.307 1.649
```

Entry 8:
A plane-wave DFT calculation with PBE-GGA was carried out for crystalline Ba6H12Pt at its relaxed geometry.

## Properties
symmetry	R-3

POSCAR file:
```
Ba6H12Pt
1.0
5.640 3.256 3.162
-5.640 3.256 3.162
0.000 -6.513 3.162
Ba H Pt
6 12 1
Cartesian
-4.135 -1.439 4.561
-0.821 -4.300 4.925
-3.313 2.861 4.925
3.313 -2.861 4.561
0.821 4.300 4.561
4.135 1.439 4.925
-4.839 0.984 3.968
-3.271 -3.698 5.518
-1.455 0.197 3.788
1.567 -4.682 3.968
0.557 -1.359 3.788
-0.899 -1.162 5.697
0.899 1.162 3.788
-0.557 1.359 5.697
-1.567 4.682 5.518
1.455 -0.197 5.697
3.271 3.698 3.968
4.839 -0.984 5.518
0.000 0.000 4.743
```

Entry 9:
A plane-wave DFT calculation with PBE-GGA was carried out for crystalline ErSi2Ni2Ru at its relaxed geometry.

## Properties
energy relative to the elements, uncorrected	-0.09	eV/atom
symmetry	P4/mmm

POSCAR file:
```
ErSi2Ni2Ru
1.0
4.455 0.000 0.000
0.000 4.455 0.000
0.000 0.000 5.252
Er Si Ni Ru
1 2 2 1
Cartesian
0.000 0.000 0.000
0.000 2.227 2.626
2.227 0.000 2.626
2.227 2.227 1.327
2.227 2.227 3.924
0.000 0.000 2.626
```

Entry 10:
A plane-wave DFT calculation with PBE-GGA was carried out for crystalline ZnOs2Pt at its relaxed geometry.

## Properties
symmetry	P4/mmm
energy of formation from the pure elements	0.486	eV per atom

POSCAR file:
```
ZnOs2Pt
1.0
4.592 0.000 0.000
0.000 4.592 0.000
0.000 0.000 2.795
Zn Os Pt
1 2 1
Cartesian
0.000 0.000 0.000
0.000 2.296 1.398
2.296 0.000 1.398
2.296 2.296 0.000
```

Entry 11:
A plane-wave DFT calculation with PBE-GGA was carried out for crystalline Ce2Cd5Pd4 at its relaxed geometry.

## Properties
symmetry	Fmmm
energy of formation from the pure elements	-0.373	eV per atom

POSCAR file:
```
Ce2Cd5Pd4
1.0
0.000 4.685 9.266
2.821 0.000 9.266
2.821 4.685 0.000
Ce Cd Pd
2 5 4
Cartesian
2.821 4.685 2.428
2.821 4.685 16.104
1.411 2.343 0.000
1.411 2.343 4.633
1.411 2.343 9.266
2.821 4.685 9.266
4.232 7.028 13.899
2.821 3.168 6.889
2.821 3.168 11.643
2.821 6.203 6.889
2.821 6.203 11.643
```

Entry 12:
A plane-wave DFT calculation with PBE-GGA was carried out for crystalline Cs2NpHg2O6 at its relaxed geometry.

## Properties
energy relative to the elements, uncorrected	-1.54	eV/atom
symmetry	C2/m

POSCAR file:
```
Cs2NpHg2O6
1.0
3.686 -4.904 0.000
3.686 4.904 0.000
-3.588 0.000 6.840
Cs Np Hg O
2 1 2 6
Cartesian
3.686 2.979 0.000
3.686 -2.979 0.000
1.891 0.000 3.420
1.891 3.267 3.420
1.891 -3.267 3.420
-0.327 0.000 2.866
2.155 1.431 2.001
1.628 1.431 4.839
2.155 -1.431 2.001
1.628 -1.431 4.839
4.110 0.000 3.974
```

no.,electronic total energy (Ry per atom)
1,-0.2038
2,-0.4767
3,-0.4151
4,-0.6451
5,-0.4172
6,-0.2167
7,-0.3760
8,-0.2510
9,-0.4506
10,-0.5114
11,-0.2761
12,-0.4136